w:
Entry from Alexandria via LeMat-Bulk: BaSnNF2 after structural relaxation (PBE-GGA).

abc: 4.872 4.872 4.938
angles: 90.00 90.00 90.00
Space group P4/mmm (No. 123)
Asymmetric unit:
Ba 0.000 0.000 0.000 x1
Sn 0.500 0.500 0.500 x1
N 0.000 0.000 0.500 x1
F 0.000 0.500 0.000 x2

Output
volume: 117.22 Å³ per cell

x:
Entry from Alexandria via LeMat-Bulk: BaSnNF2 after structural relaxation (PBE-GGA).

abc: 4.652 4.652 4.288
angles: 90.00 90.00 90.00
Space group P4/mmm (No. 123)
Asymmetric unit:
Ba 0.000 0.000 0.000 x1
Sn 0.500 0.500 0.500 x1
N 0.500 0.500 0.000 x1
F 0.000 0.500 0.500 x2

Output
volume: 92.81 Å³ per cell

The structure with the most favorable energy is x; the runner-up is 73.2 kJ/mol of atoms above it.

w:
Entry from Alexandria via LeMat-Bulk: BaSrN2F after structural relaxation (PBE-GGA).

abc: 4.568 4.568 4.741
angles: 90.00 90.00 90.00
Space group P4/mmm (No. 123)
Asymmetric unit:
Ba 0.000 0.000 0.000 x1
Sr 0.500 0.500 0.500 x1
N 0.000 0.500 0.500 x2
F 0.500 0.500 0.000 x1

Output
volume: 98.92 Å³ per cell

x:
Entry from Alexandria via LeMat-Bulk: BaSrN2F after structural relaxation (PBE-GGA).

abc: 4.707 4.707 4.945
angles: 90.00 90.00 90.00
Space group P4/mmm (No. 123)
Asymmetric unit:
Ba 0.000 0.000 0.000 x1
Sr 0.500 0.500 0.500 x1
N 0.000 0.500 0.000 x2
F 0.000 0.000 0.500 x1

Output
volume: 109.54 Å³ per cell

The structure with the most favorable energy is w; the runner-up is 21.5 kJ/mol of atoms above it.

w:
Entry from Alexandria via LeMat-Bulk: BaTaN2F after structural relaxation (PBE-GGA).

abc: 4.661 4.661 4.592
angles: 90.00 90.00 90.00
Space group P4/mmm (No. 123)
Asymmetric unit:
Ba 0.000 0.000 0.000 x1
Ta 0.500 0.500 0.500 x1
N 0.000 0.500 0.000 x2
F 0.000 0.000 0.500 x1

Output
volume: 99.75 Å³ per cell

x:
Entry from Alexandria via LeMat-Bulk: BaTaN2F after structural relaxation (PBE-GGA).

abc: 4.168 4.168 4.279
angles: 90.00 90.00 90.00
Space group P4/mmm (No. 123)
Asymmetric unit:
Ba 0.000 0.000 0.000 x1
Ta 0.500 0.500 0.500 x1
N 0.000 0.500 0.500 x2
F 0.500 0.500 0.000 x1

Output
volume: 74.33 Å³ per cell

The structure with the most favorable energy is x; the runner-up is 286.3 kJ/mol of atoms above it.

w:
Entry from Alexandria via LeMat-Bulk: BaTcNF2 after structural relaxation (PBE-GGA).

abc: 4.444 4.444 3.907
angles: 90.00 90.00 90.00
Space group P4/mmm (No. 123)
Asymmetric unit:
Ba 0.000 0.000 0.000 x1
Tc 0.500 0.500 0.500 x1
N 0.500 0.500 0.000 x1
F 0.000 0.500 0.500 x2

Output
volume: 77.15 Å³ per cell

x:
Entry from Alexandria via LeMat-Bulk: BaTcNF2 after structural relaxation (PBE-GGA).

abc: 4.851 4.851 4.938
angles: 90.00 90.00 90.00
Space group P4/mmm (No. 123)
Asymmetric unit:
Ba 0.000 0.000 0.000 x1
Tc 0.500 0.500 0.500 x1
N 0.000 0.000 0.500 x1
F 0.000 0.500 0.000 x2

Output
volume: 116.19 Å³ per cell

The structure with the most favorable energy is w; the runner-up is 140.7 kJ/mol of atoms above it.

w:
Entry from Alexandria via LeMat-Bulk: BaTcN2F after structural relaxation (PBE-GGA).

abc: 4.701 4.701 4.785
angles: 90.00 90.00 90.00
Space group P4/mmm (No. 123)
Asymmetric unit:
Ba 0.000 0.000 0.000 x1
Tc 0.500 0.500 0.500 x1
N 0.000 0.500 0.000 x2
F 0.000 0.000 0.500 x1

Output
volume: 105.77 Å³ per cell

x:
Entry from Alexandria via LeMat-Bulk: BaTcN2F after structural relaxation (PBE-GGA).

abc: 3.977 3.977 4.509
angles: 90.00 90.00 90.00
Space group P4/mmm (No. 123)
Asymmetric unit:
Ba 0.000 0.000 0.000 x1
Tc 0.500 0.500 0.500 x1
N 0.000 0.500 0.500 x2
F 0.500 0.500 0.000 x1

Output
volume: 71.33 Å³ per cell

The structure with the most favorable energy is x; the runner-up is 225.2 kJ/mol of atoms above it.

w:
Entry from Alexandria via LeMat-Bulk: BaTeN2F after structural relaxation (PBE-GGA).

abc: 5.382 5.382 7.163
angles: 90.00 90.00 90.00
Space group P4/mmm (No. 123)
Asymmetric unit:
Ba 0.000 0.000 0.000 x1
Te 0.000 0.000 0.500 x1
N 0.000 0.500 0.000 x2
F 0.500 0.500 0.500 x1

Output
volume: 207.50 Å³ per cell

x:
Entry from Alexandria via LeMat-Bulk: BaTeN2F after structural relaxation (PBE-GGA).

abc: 5.100 5.100 4.275
angles: 90.00 90.00 90.00
Space group P4/mmm (No. 123)
Asymmetric unit:
Ba 0.000 0.000 0.000 x1
Te 0.500 0.500 0.000 x1
N 0.000 0.500 0.500 x2
F 0.500 0.500 0.500 x1

Output
volume: 111.20 Å³ per cell

y:
Entry from Alexandria via LeMat-Bulk: BaTeN2F after structural relaxation (PBE-GGA).

abc: 4.803 4.803 4.721
angles: 90.00 90.00 90.00
Space group P4/mmm (No. 123)
Asymmetric unit:
Ba 0.000 0.000 0.000 x1
Te 0.500 0.500 0.500 x1
N 0.000 0.500 0.000 x2
F 0.000 0.000 0.500 x1

Output
volume: 108.90 Å³ per cell

z:
Entry from Alexandria via LeMat-Bulk: BaTeN2F after structural relaxation (PBE-GGA).

abc: 4.232 4.232 4.733
angles: 90.00 90.00 90.00
Space group P4/mmm (No. 123)
Asymmetric unit:
Ba 0.000 0.000 0.000 x1
Te 0.500 0.500 0.500 x1
N 0.000 0.500 0.500 x2
F 0.500 0.500 0.000 x1

Output
volume: 84.78 Å³ per cell

The structure with the most favorable energy is z; the runner-up is 118.5 kJ/mol of atoms above it.